1.
First-principles (PBEsol) data for a geometry-optimized KZnFe2 structure, as listed in the Alexandria database.

Structure (CIF):
```
data_KZnFe2
_chemical_formula_sum 'K1 Zn1 Fe2'
_cell_length_a 2.685
_cell_length_b 2.685
_cell_length_c 9.064
_cell_angle_alpha 90.00
_cell_angle_beta 90.00
_cell_angle_gamma 90.00
_space_group_name_H-M_alt 'P 4/m m m'
_space_group_IT_number 123
_space_group_name_Hall '-P 4 2'
loop_
_atom_site_label
_atom_site_fract_x
_atom_site_fract_y
_atom_site_fract_z
_atom_site_occupancy
K1 0.000 0.000 0.000 1
Zn1 0.000 0.000 0.500 1
Fe1 0.500 0.500 0.313 1
```

Computed properties:
formation enthalpy at 0 K = 0.779 eV per atom
total magnetic moment = 4.77 μB per formula unit

2.
First-principles (PBEsol) data for a geometry-optimized TlSb4Pb structure, as listed in the Alexandria database.

Structure (CIF):
```
data_TlSb4Pb
_chemical_formula_sum 'Tl4 Sb16 Pb4'
_cell_length_a 8.886
_cell_length_b 8.886
_cell_length_c 8.886
_cell_angle_alpha 90.00
_cell_angle_beta 90.00
_cell_angle_gamma 90.00
_space_group_name_H-M_alt 'F -4 3 m'
_space_group_IT_number 216
_space_group_name_Hall 'F -4 2 3'
loop_
_atom_site_label
_atom_site_fract_x
_atom_site_fract_y
_atom_site_fract_z
_atom_site_occupancy
Tl1 0.000 0.000 0.000 1
Sb1 0.125 0.125 0.625 1
Pb1 0.250 0.250 0.250 1
```

Computed properties:
final energy = -4.003 eV/atom
total magnetic moment = 0.00 μB per formula unit

3.
First-principles (PBEsol) data for a geometry-optimized Ba3WI structure, as listed in the Alexandria database.

Structure (CIF):
```
data_Ba3WI
_chemical_formula_sum 'Ba3 W1 I1'
_cell_length_a 6.355
_cell_length_b 6.355
_cell_length_c 6.355
_cell_angle_alpha 90.00
_cell_angle_beta 90.00
_cell_angle_gamma 90.00
_space_group_name_H-M_alt 'P m -3 m'
_space_group_IT_number 221
_space_group_name_Hall '-P 4 2 3'
loop_
_atom_site_label
_atom_site_fract_x
_atom_site_fract_y
_atom_site_fract_z
_atom_site_occupancy
Ba1 0.000 0.000 0.500 1
W1 0.500 0.500 0.500 1
I1 0.000 0.000 0.000 1
```

Computed properties:
final energy = -3.403 eV/atom
total magnetic moment = 6.75 μB per formula unit

4.
First-principles (PBEsol) data for a geometry-optimized Li6Mn5SbO12 structure, as listed in the Alexandria database.

Structure (CIF):
```
data_Li6Mn5SbO12
_chemical_formula_sum 'Li12 Mn10 Sb2 O24'
_cell_length_a 5.479
_cell_length_b 8.848
_cell_length_c 10.345
_cell_angle_alpha 90.00
_cell_angle_beta 98.87
_cell_angle_gamma 90.00
_space_group_name_H-M_alt 'C 1 2 1'
_space_group_IT_number 5
_space_group_name_Hall 'C 2y'
loop_
_atom_site_label
_atom_site_fract_x
_atom_site_fract_y
_atom_site_fract_z
_atom_site_occupancy
Li1 0.241 0.000 0.284 1
Li2 0.241 0.333 0.289 1
Li3 0.241 0.667 0.289 1
Mn1 0.000 0.000 0.500 1
Mn2 0.000 0.167 0.000 1
Mn3 0.000 0.337 0.500 1
Mn4 0.000 0.663 0.500 1
Mn5 0.000 0.833 0.000 1
Sb1 0.000 0.500 0.000 1
O1 0.093 0.162 0.388 1
O2 0.093 0.500 0.382 1
O3 0.093 0.839 0.388 1
O4 0.174 0.335 0.106 1
O5 0.174 0.665 0.107 1
O6 0.204 0.000 0.097 1
```

Computed properties:
final energy = -7.027 eV/atom
total magnetic moment = 21.99 μB per formula unit

5.
First-principles (PBEsol) data for a geometry-optimized LiBeMo2 structure, as listed in the Alexandria database.

Structure (CIF):
```
data_LiBeMo2
_chemical_formula_sum 'Li3 Be3 Mo6'
_cell_length_a 2.6437
_cell_length_b 2.6437
_cell_length_c 27.4832
_cell_angle_alpha 90.00
_cell_angle_beta 90.00
_cell_angle_gamma 120.00
_space_group_name_H-M_alt 'R -3 m'
_space_group_IT_number 166
_space_group_name_Hall '-R 3 2"'
loop_
_atom_site_label
_atom_site_fract_x
_atom_site_fract_y
_atom_site_fract_z
_atom_site_occupancy
Li1 0.0000 0.0000 0.0000 1
Be1 0.0000 0.0000 0.5000 1
Mo1 0.0000 0.0000 0.2431 1
```

Computed properties:
formation enthalpy at 0 K = 0.433 eV per atom
energy above the most stable polymorph in this dataset = 65.8 kJ/mol of formula units
total magnetic moment = 0.00 μB per formula unit

6.
First-principles (PBEsol) data for a geometry-optimized NbI2O2 structure, as listed in the Alexandria database.

Structure (CIF):
```
data_NbI2O2
_chemical_formula_sum 'Nb1 I2 O2'
_cell_length_a 4.045
_cell_length_b 4.045
_cell_length_c 7.170
_cell_angle_alpha 90.00
_cell_angle_beta 90.00
_cell_angle_gamma 90.00
_space_group_name_H-M_alt 'P 4/m m m'
_space_group_IT_number 123
_space_group_name_Hall '-P 4 2'
loop_
_atom_site_label
_atom_site_fract_x
_atom_site_fract_y
_atom_site_fract_z
_atom_site_occupancy
Nb1 0.000 0.000 0.000 1
I1 0.500 0.500 0.000 1
I2 0.500 0.500 0.500 1
O1 0.000 0.500 0.500 1
```

Computed properties:
final energy = -4.398 eV/atom
total magnetic moment = 3.25 μB per formula unit

7.
First-principles (PBEsol) data for a geometry-optimized Zn2InSi structure, as listed in the Alexandria database.

Structure (CIF):
```
data_Zn2InSi
_chemical_formula_sum 'Zn2 In1 Si1'
_cell_length_a 2.766
_cell_length_b 3.743
_cell_length_c 6.921
_cell_angle_alpha 90.00
_cell_angle_beta 101.50
_cell_angle_gamma 90.00
_space_group_name_H-M_alt 'P 1 m 1'
_space_group_IT_number 6
_space_group_name_Hall 'P -2y'
loop_
_atom_site_label
_atom_site_fract_x
_atom_site_fract_y
_atom_site_fract_z
_atom_site_occupancy
Zn1 0.000 0.000 0.000 1
Zn2 0.395 0.500 0.789 1
In1 0.635 0.500 0.275 1
Si1 0.802 0.000 0.605 1
```

Computed properties:
energy above the most stable polymorph in this dataset = 0.0 kJ/mol of formula units
total magnetic moment = 0.00 μB per formula unit

8.
First-principles (PBEsol) data for a geometry-optimized KTl2Te structure, as listed in the Alexandria database.

Structure (CIF):
```
data_KTl2Te
_chemical_formula_sum 'K2 Tl4 Te2'
_cell_length_a 4.951
_cell_length_b 4.951
_cell_length_c 10.155
_cell_angle_alpha 90.00
_cell_angle_beta 90.00
_cell_angle_gamma 90.00
_space_group_name_H-M_alt 'I -4 m 2'
_space_group_IT_number 119
_space_group_name_Hall 'I -4 -2'
loop_
_atom_site_label
_atom_site_fract_x
_atom_site_fract_y
_atom_site_fract_z
_atom_site_occupancy
K1 0.000 0.000 0.000 1
Tl1 0.000 0.000 0.500 1
Tl2 0.000 0.500 0.750 1
Te1 0.000 0.500 0.250 1
```

Computed properties:
energy above the most stable polymorph in this dataset = 22.0 kJ/mol of formula units
total magnetic moment = 0.00 μB per formula unit